DFT (GGA-PBE) results for a relaxed structure of Tl3O2F. Values from VASP.

Properties
Relative energy among the computed polymorphs ... 14.8 meV/atom
Formation energy from raw total energies ... -0.94 eV/atom

```
&SYSTEM
  ibrav = 0, nat = 12, ntyp = 3
/
ATOMIC_SPECIES
Tl 204.38 Tl.upf
O 16.00 O.upf
F 19.00 F.upf
CELL_PARAMETERS angstrom
6.273 -2.873 0.000
6.273 2.873 0.000
-1.967 0.000 6.647
ATOMIC_POSITIONS crystal
Tl 0.003 0.997 0.750
Tl 0.312 0.341 0.413
Tl 0.341 0.312 0.913
Tl 0.659 0.688 0.087
Tl 0.688 0.659 0.587
Tl 0.997 0.003 0.250
O 0.053 0.185 0.528
O 0.185 0.053 0.028
O 0.815 0.947 0.972
O 0.947 0.815 0.472
F 0.430 0.570 0.250
F 0.570 0.430 0.750
```